Record 1
Compound: AlW
Source: the Alexandria database
Functional: PBE
Structure: relaxed

Its formation energy is -0.010 eV/atom. Its total moment is 0.000 μB per cell. Its total energy is -8.36 eV per atom. As for the crystal system: hexagonal.

Lattice parameters (Å, degrees): 2.8538 2.8538 8.8904 90.00 90.00 120.00
Positions (direct):
Al1 0.3333 0.6667 0.2500
Al2 0.6667 0.3333 0.7500
W1 0.0000 0.0000 0.0000
W2 0.0000 0.0000 0.5000

***

Record 2
Compound: AlW2
Source: the Alexandria database
Functional: PBE
Structure: relaxed

Its formation energy is -0.023 eV/atom. Its total moment is 0.000 μB per cell. Its total energy is -9.91 eV per atom. As for the crystal system: trigonal.

Lattice parameters (Å, degrees): 4.4596 4.4596 2.7418 90.00 90.00 120.00
Positions (direct):
W1 0.6667 0.3333 0.6337
W2 0.3333 0.6667 0.3663
Al1 0.0000 0.0000 0.0000

***

Record 3
Compound: AlW2
Source: the Alexandria database
Functional: PBE
Structure: relaxed

Its formation energy is 0.460 eV/atom. Its total moment is 0.000 μB per cell. Its total energy is -9.42 eV per atom. As for the crystal system: cubic.

Lattice parameters (Å, degrees): 5.2805 5.2805 5.2805 60.00 60.00 60.00
Positions (direct):
W1 0.1250 0.1250 0.1250
W2 0.1250 0.1250 0.6250
W3 0.6250 0.1250 0.1250
W4 0.1250 0.6250 0.1250
Al1 0.7500 0.7500 0.7500
Al2 0.5000 0.5000 0.5000

***

> Look up the total moment of the second one.

0.000 μB per cell